Run P
# GGA+U PrMo2O6, relaxed
data_PrMo2O6
_chemical_formula_sum 'Pr2 Mo4 O12'
_space_group_name_H-M_alt 'P 1'
_space_group_IT_number 1
_space_group_name_Hall 'P 1'
_cell_length_a 5.525
_cell_length_b 5.684
_cell_length_c 7.933
_cell_angle_alpha 90.48
_cell_angle_beta 90.42
_cell_angle_gamma 90.08
loop_
_atom_site_label
_atom_site_fract_x
_atom_site_fract_y
_atom_site_fract_z
Pr1 0.000 0.000 0.000
Pr2 0.496 0.389 0.499
Mo1 0.006 0.456 0.748
Mo2 0.007 0.457 0.246
Mo3 0.506 0.939 0.751
Mo4 0.510 0.938 0.252
O1 0.069 0.427 0.000
O2 0.228 0.166 0.281
O3 0.230 0.171 0.716
O4 0.291 0.640 0.294
O5 0.318 0.663 0.706
O6 0.422 0.931 0.999
O7 0.571 0.967 0.499
O8 0.720 0.212 0.783
O9 0.738 0.238 0.221
O10 0.806 0.743 0.204
O11 0.808 0.744 0.796
O12 0.920 0.463 0.500
# * magnetic moment: 6.0 μB/cell

***

Run Q
# GGA+U PrMo2O6, relaxed
data_PrMo2O6
_chemical_formula_sum 'Pr1 Mo2 O6'
_space_group_name_H-M_alt 'P 1'
_space_group_IT_number 1
_space_group_name_Hall 'P 1'
_cell_length_a 5.423
_cell_length_b 5.423
_cell_length_c 5.121
_cell_angle_alpha 90.54
_cell_angle_beta 90.54
_cell_angle_gamma 121.87
loop_
_atom_site_label
_atom_site_fract_x
_atom_site_fract_y
_atom_site_fract_z
Pr1 0.000 0.000 0.000
Mo1 0.337 0.663 0.500
Mo2 0.663 0.337 0.500
O1 0.004 0.366 0.284
O2 0.366 0.004 0.284
O3 0.368 0.368 0.717
O4 0.632 0.632 0.283
O5 0.634 0.996 0.716
O6 0.996 0.634 0.716
# * magnetic moment: 3.0 μB/cell

***

Which structure is most stable? run Q, by 33 meV/atom over the runner-up.

***

Run P
# GGA+U MoPtO2, relaxed
data_MoPtO2
_chemical_formula_sum 'Mo2 Pt2 O4'
_space_group_name_H-M_alt 'P 1'
_space_group_IT_number 1
_space_group_name_Hall 'P 1'
_cell_length_a 7.047
_cell_length_b 7.047
_cell_length_c 7.047
_cell_angle_alpha 146.52
_cell_angle_beta 146.52
_cell_angle_gamma 48.08
loop_
_atom_site_label
_atom_site_fract_x
_atom_site_fract_y
_atom_site_fract_z
Mo1 0.000 0.000 0.000
Mo2 0.750 0.250 0.500
Pt1 0.250 0.750 0.500
Pt2 0.500 0.500 0.000
O1 0.081 0.625 0.956
O2 0.375 0.331 0.456
O3 0.669 0.125 0.044
O4 0.875 0.919 0.544
# * magnetic moment: 3.9 μB/cell

***

Run Q
# GGA+U MoPtO2, relaxed
data_MoPtO2
_chemical_formula_sum 'Mo1 Pt1 O2'
_space_group_name_H-M_alt 'P 1'
_space_group_IT_number 1
_space_group_name_Hall 'P 1'
_cell_length_a 6.995
_cell_length_b 6.995
_cell_length_c 6.995
_cell_angle_alpha 23.11
_cell_angle_beta 23.11
_cell_angle_gamma 23.11
loop_
_atom_site_label
_atom_site_fract_x
_atom_site_fract_y
_atom_site_fract_z
Mo1 0.000 0.000 0.000
Pt1 0.500 0.500 0.500
O1 0.401 0.401 0.401
O2 0.599 0.599 0.599
# * magnetic moment: 0.0 μB/cell

***

Which structure is most stable? run Q, by 432 meV/atom over the runner-up.

***

Run P
# GGA+U Mo3PtO, relaxed
data_Mo3PtO
_chemical_formula_sum 'Mo3 Pt1 O1'
_space_group_name_H-M_alt 'P 1'
_space_group_IT_number 1
_space_group_name_Hall 'P 1'
_cell_length_a 4.148
_cell_length_b 4.148
_cell_length_c 4.148
_cell_angle_alpha 90.00
_cell_angle_beta 90.00
_cell_angle_gamma 90.00
loop_
_atom_site_label
_atom_site_fract_x
_atom_site_fract_y
_atom_site_fract_z
Mo1 0.000 0.000 0.500
Mo2 0.000 0.500 0.000
Mo3 0.500 0.000 0.000
Pt1 0.500 0.500 0.500
O1 0.000 0.000 0.000
# * magnetic moment: 0.2 μB/cell

***

Run Q
# GGA+U Mo3PtO, relaxed
data_Mo3PtO
_chemical_formula_sum 'Mo3 Pt1 O1'
_space_group_name_H-M_alt 'P 1'
_space_group_IT_number 1
_space_group_name_Hall 'P 1'
_cell_length_a 5.245
_cell_length_b 5.245
_cell_length_c 5.245
_cell_angle_alpha 90.00
_cell_angle_beta 90.00
_cell_angle_gamma 90.00
loop_
_atom_site_label
_atom_site_fract_x
_atom_site_fract_y
_atom_site_fract_z
Mo1 0.000 0.000 0.500
Mo2 0.000 0.500 0.000
Mo3 0.500 0.000 0.000
Pt1 0.000 0.000 0.000
O1 0.500 0.500 0.500
# * magnetic moment: 12.5 μB/cell

***

Which structure is most stable? run P, by 1493 meV/atom over the runner-up.

***

Run P
# GGA+U PuMo2O8, relaxed
data_PuMo2O8
_chemical_formula_sum 'Pu1 Mo2 O8'
_space_group_name_H-M_alt 'P 1'
_space_group_IT_number 1
_space_group_name_Hall 'P 1'
_cell_length_a 10.571
_cell_length_b 10.571
_cell_length_c 4.093
_cell_angle_alpha 90.29
_cell_angle_beta 90.29
_cell_angle_gamma 21.98
loop_
_atom_site_label
_atom_site_fract_x
_atom_site_fract_y
_atom_site_fract_z
Pu1 0.000 0.000 0.000
Mo1 0.191 0.191 0.908
Mo2 0.809 0.809 0.092
O1 0.000 0.000 0.500
O2 0.102 0.102 0.999
O3 0.193 0.193 0.482
O4 0.291 0.291 0.015
O5 0.500 0.500 0.000
O6 0.709 0.709 0.985
O7 0.807 0.807 0.518
O8 0.898 0.898 0.001
# * magnetic moment: 4.0 μB/cell

***

Run Q
# GGA+U PuMo2O8, relaxed
data_PuMo2O8
_chemical_formula_sum 'Pu1 Mo2 O8'
_space_group_name_H-M_alt 'P 1'
_space_group_IT_number 1
_space_group_name_Hall 'P 1'
_cell_length_a 6.579
_cell_length_b 6.579
_cell_length_c 5.771
_cell_angle_alpha 101.04
_cell_angle_beta 101.04
_cell_angle_gamma 59.64
loop_
_atom_site_label
_atom_site_fract_x
_atom_site_fract_y
_atom_site_fract_z
Pu1 0.000 0.000 0.000
Mo1 0.183 0.183 0.664
Mo2 0.817 0.817 0.336
O1 0.084 0.685 0.188
O2 0.132 0.132 0.336
O3 0.315 0.916 0.812
O4 0.338 0.338 0.744
O5 0.662 0.662 0.256
O6 0.685 0.084 0.188
O7 0.868 0.868 0.664
O8 0.916 0.315 0.812
# * magnetic moment: 4.0 μB/cell

***

Which structure is most stable? run P, by 84 meV/atom over the runner-up.